Entry i
Below is a geometry-optimized TlHgGe structure, with properties calculated at the PBE level.

Values from the calculation:
SG: P-1
Size of the total moment in Bohr magnetons per cell: 0.0
ρ in g cm⁻³: 9.6
Density of states at the Fermi level in states/eV/f.u.: 0.7

Cell and atoms, written as POSCAR:
```
TlHgGe
1.0
3.9639 0.0000 0.0000
-0.0111 4.9807 0.0000
-1.4722 -2.3029 8.3595
Tl Hg Ge
2 2 2
direct
0.1710 0.1768 0.3680
0.8290 0.8232 0.6320
0.3856 0.3830 0.7581
0.6144 0.6170 0.2419
0.2500 0.8454 0.0011
0.7500 0.1546 0.9989
```

---

Entry ii
Below is a geometry-optimized TlHgGe structure, with properties calculated at the PBE level.

Values from the calculation:
SG: P1
Size of the total moment in Bohr magnetons per cell: 0.0
ρ in g cm⁻³: 10.0
Density of states at the Fermi level in states/eV/f.u.: 1.2

Cell and atoms, written as POSCAR:
```
TlHgGe
1.0
4.2100 0.0000 0.0000
2.0698 5.9851 0.0000
2.1012 0.7465 6.2923
Tl Hg Ge
2 2 2
direct
0.0000 0.0000 0.0000
0.1822 0.3381 0.2968
0.4443 0.7492 0.3561
0.7056 0.9788 0.6081
0.4266 0.4273 0.7299
0.7645 0.5677 0.9167
```

---

entry ii is favored, and the nearest alternative lies 13 meV per atom above it.